VASP calculation (PBE) on a relaxed structure of Li2MgGe.

Structure (POSCAR):
```
Li2MgGe
1.0
0.8499 0.1092 4.4042
1.3013 3.8311 1.9394
-2.7839 2.1714 2.7688
Ge Li Mg
1 2 1
Direct
0.5000 0.5000 0.5000
0.2500 0.2500 0.2500
0.7500 0.7500 0.7500
0.0000 0.0000 0.0000
```

Calculated values
Formation energy in eV/atom: -0.281
Raw total energy in Ha/atom: -0.103
Density in g cm⁻³: 2.881
Space-group type: Fm-3m (225)



VASP calculation (PBE) on a relaxed structure of LaFe2Hg.

Structure (POSCAR):
```
LaFe2Hg
1.0
-0.8252 3.6002 0.0631
-4.1371 -0.9457 -0.1422
-2.2129 -0.5944 4.9721
Fe La Hg
2 1 1
Direct
0.5000 0.0573 0.2598
0.0000 0.1896 0.9961
0.5000 0.7730 0.8293
0.0000 0.4801 0.4148
```

Calculated values
Formation energy in eV/atom: 0.166
Raw total energy in Ha/atom: -0.197
Density in g cm⁻³: 9.464
Space-group type: Amm2 (38)



VASP calculation (PBE) on a relaxed structure of NaTm2Zn.

Structure (POSCAR):
```
NaTm2Zn
1.0
3.5310 0.0000 0.0000
0.0000 3.5310 0.0000
0.0000 0.0000 8.7919
Zn Na Tm
1 1 2
Direct
0.5000 0.5000 0.0000
0.5000 0.5000 0.5000
0.0000 0.0000 0.1897
0.0000 0.0000 0.8103
```

Calculated values
Formation energy in eV/atom: -0.006
Raw total energy in Ha/atom: -0.106
Density in g cm⁻³: 6.457
Distance to the lowest polymorph of the same formula in eV per formula unit: 0.00
Space-group type: P4/mmm (123)



VASP calculation (PBE) on a relaxed structure of Ce6C2SI3.

Structure (POSCAR):
```
Ce6C2SI3
1.0
6.7754 -0.0030 -0.0011
-3.3887 5.8671 -0.0011
-1.1311 -1.9585 7.7370
Ce I C S
6 3 2 1
Direct
0.5846 0.9404 0.8213
0.2962 0.2962 0.8221
0.9404 0.5846 0.8213
0.0596 0.4154 0.1787
0.4154 0.0596 0.1787
0.7038 0.7038 0.1779
0.5000 0.5000 0.5000
0.8378 0.1622 0.5000
0.1622 0.8378 0.5000
0.6670 0.3330 0.0000
0.3330 0.6670 0.0000
0.0000 0.0000 0.0000
```

Calculated values
Raw total energy in Ha/atom: -0.226
Density in g cm⁻³: 6.900
Space-group type: C2/m (12)
Formation energy from raw total energies in eV per atom: -0.90